No. 1
{
  "formula": "TlAg5F8",
  "functional": "PBE",
  "state": "relaxed",
  "final_energy_ev_per_atom": -3.468,
  "rho_g_cm3": 7.26,
  "space_group": "I-4 (82)",
  "formation_energy_uncorrected_ev_per_atom": -1.21,
  "volume_a3_per_fu": 204.8,
  "lattice": [[6.080, 0.188, -2.088], [-3.048, 5.265, -2.088], [-0.105, -0.188, 6.428]],
  "species": ["Tl", "Ag", "Ag", "Ag", "Ag", "Ag", "F", "F", "F", "F", "F", "F", "F", "F"],
  "frac_coords": [[0.250, 0.750, 0.500], [0.908, 0.238, 0.825], [0.762, 0.587, 0.671], [0.413, 0.084, 0.175], [0.500, 0.500, 0.000], [0.916, 0.092, 0.329], [0.042, 0.778, 0.155], [0.222, 0.377, 0.264], [0.556, 0.837, 0.358], [0.163, 0.522, 0.719], [0.803, 0.444, 0.281], [0.113, 0.958, 0.736], [0.623, 0.887, 0.845], [0.478, 0.197, 0.642]]
}

---

No. 2
{
  "formula": "Tl2Ag2F",
  "functional": "PBE",
  "state": "relaxed",
  "final_energy_ev_per_atom": -2.899,
  "rho_g_cm3": 8.79,
  "space_group": "I4/mmm (139)",
  "formation_energy_uncorrected_ev_per_atom": -0.44,
  "relative_energy_mev_per_atom": 0,
  "volume_a3_per_fu": 121.6,
  "lattice": [[3.828, 0.000, 0.000], [0.000, 3.828, 0.000], [1.914, 1.914, 8.297]],
  "species": ["Tl", "Tl", "Ag", "Ag", "F"],
  "frac_coords": [[0.407, 0.407, 0.186], [0.593, 0.593, 0.814], [0.750, 0.250, 0.500], [0.250, 0.750, 0.500], [0.000, 0.000, 0.000]]
}

---

No. 3
{
  "formula": "TlAg2F6",
  "functional": "PBE",
  "state": "relaxed",
  "final_energy_ev_per_atom": -3.543,
  "rho_g_cm3": 5.58,
  "space_group": "P2_1/c (14)",
  "formation_energy_uncorrected_ev_per_atom": -1.40,
  "volume_a3_per_fu": 158.9,
  "lattice": [[6.008, 0.000, 0.264], [0.000, 5.493, 0.000], [-0.338, 0.000, 9.613]],
  "species": ["Tl", "Tl", "Ag", "Ag", "Ag", "Ag", "F", "F", "F", "F", "F", "F", "F", "F", "F", "F", "F", "F"],
  "frac_coords": [[0.500, 0.500, 0.000], [0.000, 0.000, 0.500], [0.995, 0.461, 0.809], [0.505, 0.961, 0.691], [0.495, 0.039, 0.309], [0.005, 0.539, 0.191], [0.825, 0.821, 0.318], [0.836, 0.755, 0.651], [0.812, 0.697, 0.974], [0.688, 0.197, 0.526], [0.664, 0.255, 0.849], [0.675, 0.321, 0.182], [0.175, 0.179, 0.682], [0.164, 0.245, 0.349], [0.188, 0.303, 0.026], [0.312, 0.803, 0.474], [0.336, 0.745, 0.151], [0.325, 0.679, 0.818]]
}

---

No. 4
{
  "formula": "TlAgF3",
  "functional": "PBE",
  "state": "relaxed",
  "final_energy_ev_per_atom": -3.526,
  "rho_g_cm3": 6.58,
  "space_group": "Fd-3m (227)",
  "formation_energy_uncorrected_ev_per_atom": -1.36,
  "relative_energy_mev_per_atom": 144,
  "volume_a3_per_fu": 93.2,
  "lattice": [[-0.376, -8.050, -0.551], [2.905, -4.598, 5.973], [-5.065, -4.141, 4.739]],
  "species": ["Tl", "Tl", "Tl", "Tl", "Ag", "Ag", "Ag", "Ag", "F", "F", "F", "F", "F", "F", "F", "F", "F", "F", "F", "F"],
  "frac_coords": [[0.625, 0.625, 0.625], [0.625, 0.125, 0.625], [0.125, 0.625, 0.625], [0.625, 0.625, 0.125], [0.125, 0.125, 0.125], [0.125, 0.625, 0.125], [0.625, 0.125, 0.125], [0.125, 0.125, 0.625], [0.737, 0.263, 0.263], [0.987, 0.513, 0.513], [0.513, 0.513, 0.987], [0.513, 0.987, 0.987], [0.987, 0.513, 0.987], [0.737, 0.263, 0.737], [0.513, 0.987, 0.513], [0.987, 0.987, 0.513], [0.263, 0.737, 0.263], [0.263, 0.737, 0.737], [0.263, 0.263, 0.737], [0.737, 0.737, 0.263]]
}

---

No. 5
{
  "formula": "Tl12Ag3F5",
  "functional": "PBE",
  "state": "relaxed",
  "final_energy_ev_per_atom": -2.975,
  "rho_g_cm3": 8.38,
  "space_group": "Ia-3d (230)",
  "formation_energy_uncorrected_ev_per_atom": -0.66,
  "volume_a3_per_fu": 569.0,
  "lattice": [[-1.953, -7.020, -12.365], [13.786, 3.801, 1.217], [-3.596, -8.533, 10.966]],
  "species": ["Ag", "Ag", "Ag", "Ag", "Ag", "Ag", "Ag", "Ag", "Ag", "Ag", "Ag", "Ag", "F", "F", "F", "F", "F", "F", "F", "F", "F", "F", "F", "F", "F", "F", "F", "F", "F", "F", "F", "F", "Tl", "Tl", "Tl", "Tl", "Tl", "Tl", "Tl", "Tl", "Tl", "Tl", "Tl", "Tl", "Tl", "Tl", "Tl", "Tl", "Tl", "Tl", "Tl", "Tl", "Tl", "Tl", "Tl", "Tl", "Tl", "Tl", "Tl", "Tl", "Tl", "Tl", "Tl", "Tl", "Tl", "Tl", "Tl", "Tl", "Tl", "Tl", "Tl", "Tl", "Tl", "Tl", "Tl", "Tl", "Tl", "Tl", "Tl", "Tl"],
  "frac_coords": [[0.750, 0.375, 0.125], [0.875, 0.750, 0.125], [0.375, 0.750, 0.625], [0.250, 0.125, 0.375], [0.875, 0.125, 0.250], [0.375, 0.625, 0.250], [0.625, 0.375, 0.750], [0.125, 0.875, 0.750], [0.750, 0.875, 0.625], [0.625, 0.250, 0.375], [0.125, 0.250, 0.875], [0.250, 0.625, 0.875], [0.125, 0.375, 0.250], [0.000, 0.500, 0.000], [0.000, 0.000, 0.000], [0.375, 0.250, 0.125], [0.500, 0.000, 0.500], [0.500, 0.500, 0.000], [0.125, 0.750, 0.375], [0.750, 0.125, 0.875], [0.750, 0.625, 0.375], [0.375, 0.125, 0.750], [0.625, 0.875, 0.250], [0.500, 0.500, 0.500], [0.500, 0.000, 0.000], [0.000, 0.000, 0.500], [0.250, 0.375, 0.625], [0.250, 0.875, 0.125], [0.000, 0.500, 0.500], [0.875, 0.250, 0.625], [0.625, 0.750, 0.875], [0.875, 0.625, 0.750], [0.716, 0.124, 0.039], [0.323, 0.539, 0.415], [0.961, 0.376, 0.284], [0.539, 0.216, 0.124], [0.592, 0.716, 0.677], [0.961, 0.585, 0.177], [0.323, 0.784, 0.408], [0.085, 0.908, 0.124], [0.585, 0.961, 0.677], [0.716, 0.592, 0.177], [0.784, 0.461, 0.376], [0.823, 0.915, 0.039], [0.124, 0.716, 0.539], [0.376, 0.415, 0.092], [0.092, 0.915, 0.376], [0.408, 0.124, 0.585], [0.092, 0.177, 0.216], [0.461, 0.677, 0.085], [0.823, 0.908, 0.284], [0.124, 0.408, 0.085], [0.376, 0.961, 0.784], [0.585, 0.624, 0.408], [0.915, 0.823, 0.539], [0.784, 0.323, 0.908], [0.415, 0.376, 0.592], [0.085, 0.177, 0.461], [0.216, 0.677, 0.092], [0.177, 0.092, 0.716], [0.624, 0.039, 0.216], [0.876, 0.592, 0.915], [0.539, 0.323, 0.915], [0.592, 0.876, 0.415], [0.908, 0.823, 0.784], [0.908, 0.085, 0.624], [0.876, 0.284, 0.461], [0.177, 0.085, 0.961], [0.624, 0.585, 0.908], [0.415, 0.039, 0.323], [0.284, 0.408, 0.823], [0.216, 0.539, 0.624], [0.915, 0.092, 0.876], [0.677, 0.216, 0.592], [0.461, 0.784, 0.876], [0.039, 0.415, 0.823], [0.408, 0.284, 0.323], [0.039, 0.624, 0.716], [0.677, 0.461, 0.585], [0.284, 0.876, 0.961]]
}

---

No. 6
{
  "formula": "Tl3Ag6F14",
  "functional": "PBE",
  "state": "relaxed",
  "final_energy_ev_per_atom": -3.528,
  "rho_g_cm3": 7.04,
  "space_group": "P3 (143)",
  "formation_energy_uncorrected_ev_per_atom": -1.34,
  "volume_a3_per_fu": 360.0,
  "lattice": [[7.256, 0.000, 0.000], [0.000, 6.555, -3.785], [0.000, 0.000, 7.569]],
  "species": ["Tl", "Tl", "Tl", "Ag", "Ag", "Ag", "Ag", "Ag", "Ag", "F", "F", "F", "F", "F", "F", "F", "F", "F", "F", "F", "F", "F", "F"],
  "frac_coords": [[0.676, 0.000, 0.000], [0.383, 0.333, 0.667], [0.497, 0.667, 0.333], [0.142, 0.850, 0.145], [0.142, 0.855, 0.705], [0.142, 0.295, 0.150], [0.832, 0.468, 0.532], [0.832, 0.468, 0.936], [0.832, 0.064, 0.532], [0.924, 0.125, 0.253], [0.924, 0.747, 0.872], [0.924, 0.128, 0.875], [0.561, 0.200, 0.400], [0.561, 0.600, 0.800], [0.561, 0.200, 0.800], [0.362, 0.000, 0.000], [0.091, 0.333, 0.667], [0.689, 0.797, 0.202], [0.689, 0.798, 0.595], [0.689, 0.405, 0.203], [0.297, 0.534, 0.468], [0.297, 0.532, 0.066], [0.297, 0.934, 0.466]]
}

---

No. 7
{
  "formula": "TlAgF4",
  "functional": "PBE",
  "state": "relaxed",
  "final_energy_ev_per_atom": -3.652,
  "rho_g_cm3": 7.25,
  "space_group": "P2_1/c (14)",
  "formation_energy_uncorrected_ev_per_atom": -1.54,
  "relative_energy_mev_per_atom": 25,
  "volume_a3_per_fu": 88.9,
  "lattice": [[5.485, 0.000, 0.000], [0.000, 5.378, 1.058], [0.000, -1.188, 5.793]],
  "species": ["Tl", "Tl", "Ag", "Ag", "F", "F", "F", "F", "F", "F", "F", "F"],
  "frac_coords": [[0.500, 0.500, 0.000], [0.000, 0.000, 0.000], [0.000, 0.500, 0.500], [0.500, 0.000, 0.500], [0.236, 0.737, 0.220], [0.264, 0.237, 0.220], [0.737, 0.757, 0.222], [0.237, 0.743, 0.778], [0.763, 0.257, 0.222], [0.263, 0.243, 0.778], [0.736, 0.763, 0.780], [0.764, 0.263, 0.780]]
}

---

No. 8
{
  "formula": "TlAgF4",
  "functional": "PBE",
  "state": "relaxed",
  "final_energy_ev_per_atom": -3.677,
  "rho_g_cm3": 6.22,
  "space_group": "Pnc2 (30)",
  "formation_energy_uncorrected_ev_per_atom": -1.56,
  "relative_energy_mev_per_atom": 0,
  "volume_a3_per_fu": 103.7,
  "lattice": [[-4.390, -2.978, -0.725], [3.310, -5.068, 0.778], [-1.164, 0.198, 6.234]],
  "species": ["Tl", "Tl", "Ag", "Ag", "F", "F", "F", "F", "F", "F", "F", "F"],
  "frac_coords": [[0.000, 0.000, 0.846], [0.500, 0.000, 0.346], [0.000, 0.500, 0.179], [0.500, 0.500, 0.679], [0.245, 0.851, 0.106], [0.208, 0.299, 0.882], [0.292, 0.299, 0.382], [0.255, 0.851, 0.606], [0.708, 0.701, 0.382], [0.745, 0.149, 0.606], [0.755, 0.149, 0.106], [0.792, 0.701, 0.882]]
}

---

No. 9
{
  "formula": "TlAgF3",
  "functional": "PBE",
  "state": "relaxed",
  "final_energy_ev_per_atom": -3.569,
  "rho_g_cm3": 8.02,
  "space_group": "C2/c (15)",
  "formation_energy_uncorrected_ev_per_atom": -1.40,
  "relative_energy_mev_per_atom": 101,
  "volume_a3_per_fu": 76.4,
  "lattice": [[10.918, 0.000, 0.711], [4.344, 5.293, -2.363], [-4.344, 5.293, 2.363]],
  "species": ["Tl", "Tl", "Tl", "Tl", "Ag", "Ag", "Ag", "Ag", "F", "F", "F", "F", "F", "F", "F", "F", "F", "F", "F", "F"],
  "frac_coords": [[0.241, 0.261, 0.432], [0.259, 0.932, 0.761], [0.759, 0.739, 0.568], [0.741, 0.068, 0.239], [0.750, 0.231, 0.731], [0.250, 0.769, 0.269], [0.750, 0.538, 0.038], [0.250, 0.462, 0.962], [0.484, 0.214, 0.459], [0.016, 0.959, 0.714], [0.516, 0.786, 0.541], [0.984, 0.041, 0.286], [0.991, 0.315, 0.972], [0.509, 0.472, 0.815], [0.009, 0.685, 0.028], [0.491, 0.528, 0.185], [0.611, 0.964, 0.932], [0.889, 0.432, 0.464], [0.389, 0.036, 0.068], [0.111, 0.568, 0.536]]
}

---

No. 10
{
  "formula": "TlAgF3",
  "functional": "PBE",
  "state": "relaxed",
  "final_energy_ev_per_atom": -3.649,
  "rho_g_cm3": 7.41,
  "space_group": "P1 (1)",
  "formation_energy_uncorrected_ev_per_atom": -1.48,
  "relative_energy_mev_per_atom": 21,
  "volume_a3_per_fu": 82.8,
  "lattice": [[-5.863, 0.680, 4.409], [-3.741, -0.537, -4.587], [1.632, -3.881, -0.274]],
  "species": ["Tl", "Tl", "Ag", "Ag", "F", "F", "F", "F", "F", "F"],
  "frac_coords": [[0.946, 0.051, 0.258], [0.298, 0.536, 0.925], [0.490, 0.972, 0.434], [0.677, 0.547, 0.545], [0.666, 0.817, 0.047], [0.927, 0.901, 0.732], [0.685, 0.262, 0.931], [0.973, 0.354, 0.640], [0.235, 0.239, 0.357], [0.182, 0.783, 0.419]]
}

---

No. 11
{
  "formula": "TlAgF3",
  "functional": "PBE",
  "state": "relaxed",
  "final_energy_ev_per_atom": -3.604,
  "rho_g_cm3": 8.02,
  "space_group": "P1 (1)",
  "formation_energy_uncorrected_ev_per_atom": -1.44,
  "relative_energy_mev_per_atom": 66,
  "volume_a3_per_fu": 76.5,
  "lattice": [[6.585, -0.359, 0.010], [-1.260, 6.230, -0.002], [-0.001, 0.007, 3.771]],
  "species": ["Tl", "Tl", "Ag", "Ag", "F", "F", "F", "F", "F", "F"],
  "frac_coords": [[0.930, 0.991, 0.475], [0.353, 0.721, 0.979], [0.380, 0.345, 0.481], [0.726, 0.417, 0.980], [0.663, 0.689, 0.478], [0.975, 0.777, 0.976], [0.696, 0.032, 0.979], [0.920, 0.334, 0.480], [0.156, 0.205, 0.982], [0.281, 0.952, 0.479]]
}

---

No. 12
{
  "formula": "Tl2AgF4",
  "functional": "PBE",
  "state": "relaxed",
  "final_energy_ev_per_atom": -3.665,
  "rho_g_cm3": 6.95,
  "space_group": "Imma (74)",
  "formation_energy_uncorrected_ev_per_atom": -1.51,
  "relative_energy_mev_per_atom": 3,
  "volume_a3_per_fu": 141.5,
  "lattice": [[8.201, 0.000, 0.000], [4.101, 5.876, -0.567], [4.101, 1.377, 5.741]],
  "species": ["Tl", "Tl", "Tl", "Tl", "Ag", "Ag", "F", "F", "F", "F", "F", "F", "F", "F"],
  "frac_coords": [[0.088, 0.162, 0.662], [0.500, 0.000, 0.000], [0.500, 0.500, 0.500], [0.912, 0.838, 0.338], [0.000, 0.500, 0.000], [0.500, 0.500, 0.000], [0.235, 0.319, 0.210], [0.235, 0.710, 0.819], [0.345, 0.227, 0.727], [0.700, 0.227, 0.727], [0.300, 0.773, 0.273], [0.765, 0.290, 0.181], [0.655, 0.773, 0.273], [0.765, 0.681, 0.790]]
}

---

No. 13
{
  "formula": "TlAg2F2",
  "functional": "PBE",
  "state": "relaxed",
  "final_energy_ev_per_atom": -3.263,
  "rho_g_cm3": 8.55,
  "space_group": "I4/mmm (139)",
  "formation_energy_uncorrected_ev_per_atom": -0.90,
  "relative_energy_mev_per_atom": 0,
  "volume_a3_per_fu": 89.0,
  "lattice": [[-2.289, 3.391, -0.313], [-2.038, -1.062, 3.400], [1.350, 3.807, 4.474]],
  "species": ["Tl", "Ag", "Ag", "F", "F"],
  "frac_coords": [[0.000, 0.000, 0.000], [0.372, 0.372, 0.257], [0.628, 0.628, 0.743], [0.750, 0.250, 0.500], [0.250, 0.750, 0.500]]
}

---

No. 14
{
  "formula": "TlAg3F8",
  "functional": "PBE",
  "state": "relaxed",
  "final_energy_ev_per_atom": -3.466,
  "rho_g_cm3": 5.14,
  "space_group": "C222 (21)",
  "formation_energy_uncorrected_ev_per_atom": -1.31,
  "relative_energy_mev_per_atom": 0,
  "volume_a3_per_fu": 219.7,
  "lattice": [[-1.538, -1.901, 5.842], [5.220, -1.455, -3.277], [3.195, 5.521, 2.638]],
  "species": ["Tl", "Ag", "Ag", "Ag", "F", "F", "F", "F", "F", "F", "F", "F"],
  "frac_coords": [[0.500, 0.500, 0.500], [0.000, 0.500, 0.247], [0.500, 0.500, 0.000], [0.500, 0.000, 0.753], [0.702, 0.298, 0.500], [0.689, 0.311, 0.000], [0.719, 0.784, 0.734], [0.784, 0.719, 0.266], [0.216, 0.281, 0.266], [0.281, 0.216, 0.734], [0.311, 0.689, 0.000], [0.298, 0.702, 0.500]]
}

---

No. 15
{
  "formula": "TlAg3F7",
  "functional": "PBE",
  "state": "relaxed",
  "final_energy_ev_per_atom": -3.517,
  "rho_g_cm3": 6.28,
  "space_group": "Cm (8)",
  "formation_energy_uncorrected_ev_per_atom": -1.33,
  "volume_a3_per_fu": 174.7,
  "lattice": [[-5.065, -2.210, 1.211], [2.213, -5.001, 1.447], [-0.988, -2.023, 6.544]],
  "species": ["Tl", "Ag", "Ag", "Ag", "F", "F", "F", "F", "F", "F", "F"],
  "frac_coords": [[0.962, 0.962, 0.027], [0.762, 0.243, 0.497], [0.506, 0.506, 0.995], [0.243, 0.762, 0.497], [0.168, 0.168, 0.138], [0.614, 0.092, 0.258], [0.944, 0.366, 0.760], [0.092, 0.614, 0.258], [0.597, 0.597, 0.296], [0.366, 0.944, 0.760], [0.871, 0.871, 0.765]]
}

---

No. 16
{
  "formula": "TlAgF",
  "functional": "PBE",
  "state": "relaxed",
  "final_energy_ev_per_atom": -3.040,
  "rho_g_cm3": 7.98,
  "space_group": "I4mm (107)",
  "formation_energy_uncorrected_ev_per_atom": -0.68,
  "relative_energy_mev_per_atom": 198,
  "volume_a3_per_fu": 68.9,
  "lattice": [[-0.438, -2.764, -2.539], [0.512, -2.576, 2.716], [-4.785, 2.633, 0.771]],
  "species": ["Tl", "Ag", "F"],
  "frac_coords": [[0.343, 0.343, 0.685], [0.632, 0.632, 0.265], [0.875, 0.875, 0.750]]
}

---

No. 17
{
  "formula": "TlAgF3",
  "functional": "PBE",
  "state": "relaxed",
  "final_energy_ev_per_atom": -3.570,
  "rho_g_cm3": 7.39,
  "space_group": "C2/m (12)",
  "formation_energy_uncorrected_ev_per_atom": -1.40,
  "relative_energy_mev_per_atom": 101,
  "volume_a3_per_fu": 82.9,
  "lattice": [[-0.938, 4.589, 15.244], [-3.572, 1.581, 5.610], [0.435, -4.820, -4.828]],
  "species": ["Tl", "Tl", "Ag", "Ag", "F", "F", "F", "F", "F", "F"],
  "frac_coords": [[0.644, 0.923, 0.077], [0.356, 0.077, 0.923], [0.915, 0.910, 0.090], [0.085, 0.090, 0.910], [0.735, 0.283, 0.717], [0.265, 0.717, 0.283], [0.046, 0.332, 0.668], [0.954, 0.668, 0.332], [0.667, 0.608, 0.392], [0.333, 0.392, 0.608]]
}